The following is a DFT calculation (GGA+U) of a relaxed Cr2Ag2O7 crystal.

a = 6.998 Å, b = 7.086 Å, c = 8.033 Å
α = 70.43°, β = 77.91°, γ = 81.48°
Fractional coordinates of all 22 atoms:
Cr  0.111  0.148  0.170
Cr  0.333  0.286  0.735
Cr  0.667  0.714  0.265
Cr  0.889  0.852  0.830
Ag  0.171  0.593  0.298
Ag  0.435  0.785  0.700
Ag  0.565  0.215  0.300
Ag  0.829  0.407  0.702
O  0.116  0.757  0.842
O  0.119  0.915  0.303
O  0.156  0.429  0.633
O  0.233  0.287  0.237
O  0.234  0.141  0.954
O  0.441  0.130  0.623
O  0.492  0.434  0.743
O  0.508  0.566  0.257
O  0.559  0.870  0.377
O  0.766  0.859  0.046
O  0.767  0.713  0.763
O  0.844  0.571  0.367
O  0.881  0.085  0.697
O  0.884  0.243  0.158

## Properties
**DFT total energy**: -5.918 eV per atom
**Total moment**: 0.000 μB per formula unit